Compound: CrGaO3
Source: Alexandria via LeMat-Bulk
Functional: PBE with a Hubbard U
Structure: relaxed

a = 3.776 Å, b = 3.776 Å, c = 3.776 Å
α = 90.00°, β = 90.00°, γ = 90.00°
Last column: magnetic moment on the atom in μB.
Element x y z (fractional)
Cr 0.500 0.500 0.500  3.87
O 0.000 0.500 0.000  -0.41
O 0.000 0.000 0.500  -0.24
O 0.500 0.000 0.000  -0.31
Ga 0.000 0.000 0.000  0.02

DFT total energy: -29.896 eV/cell
Crystal system: cubic
Symmetry: Pm-3m, No. 221